Li2VGe2 | PBE | relaxed

Its energy above the most stable polymorph in this dataset is 0 meV per atom. The total energy comes out at -4.48 eV/atom. The calculation puts the energy of formation at -0.04 eV/atom.

It has space group P4/mbm (No. 127), with a = 7.181 Å, b = 7.181 Å, c = 2.827 Å, α = 90.00°, β = 90.00° and γ = 90.00°. The asymmetric unit holds Li at (0.127, 0.373, 0.000), V at (0.000, 0.000, 0.500) and Ge at (0.174, 0.674, 0.500).

=====

BaSrY4 | PBE | relaxed

The total energy comes out at -4.63 eV/atom. The calculation puts the energy of formation at 0.28 eV/atom.

It has space group F-43m (No. 216), with a = 9.971 Å, b = 9.971 Å, c = 9.971 Å, α = 90.00°, β = 90.00° and γ = 90.00°. The asymmetric unit holds Ba at (0.000, 0.000, 0.000), Sr at (0.250, 0.250, 0.750) and Y at (0.124, 0.124, 0.376).

=====

ScAl6Cu6 | PBE | relaxed

The total energy comes out at -4.45 eV/atom. The calculation puts the energy of formation at -0.35 eV/atom.

It has space group Immm (No. 71), with a = 5.073 Å, b = 8.492 Å, c = 8.608 Å, α = 90.00°, β = 90.00° and γ = 90.00°. The asymmetric unit holds Sc at (0.000, 0.000, 0.000), Al at (0.000, 0.000, 0.345), Al at (0.000, 0.344, 0.000), Al at (0.000, 0.500, 0.309), Cu at (0.000, 0.267, 0.500) and Cu at (0.250, 0.250, 0.250).

=====

MgNiP | PBE | relaxed

The total energy comes out at -4.85 eV/atom. The calculation puts the energy of formation at -0.58 eV/atom.

It has space group P2_1/m (No. 11), with a = 6.163 Å, b = 3.783 Å, c = 10.612 Å, α = 90.00°, β = 90.21° and γ = 90.00°. The asymmetric unit holds Mg at (0.006, 0.250, 0.295), Mg at (0.346, 0.750, 0.922), Mg at (0.484, 0.750, 0.623), Ni at (0.012, 0.250, 0.912), Ni at (0.155, 0.250, 0.540), Ni at (0.344, 0.750, 0.213), P at (0.218, 0.750, 0.424), P at (0.224, 0.250, 0.091) and P at (0.282, 0.250, 0.751).